1.
{"formula": "TlZn2P", "functional": "GGA-PBE", "state": "optimized geometry", "lattice_angstrom": [[-4.600, -4.900, 1.292], [-3.849, -5.086, -2.482], [-1.427, -6.694, 0.045]], "species": ["Tl", "Zn", "Zn", "P"], "fractional_positions": [[0.500, 0.500, 0.500], [0.724, 0.724, 0.724], [0.276, 0.276, 0.276], [0.000, 0.000, 0.000]], "e_tot_ev_per_atom": -2.514, "magmom_total_mub_per_fu": 0.0, "ef_mev_per_atom": 67}

2.
{"formula": "TlZn2P", "functional": "GGA-PBE", "state": "optimized geometry", "lattice_angstrom": [[0.000, 3.438, 3.438], [3.438, 0.000, 3.438], [3.438, 3.438, 0.000]], "species": ["Tl", "Zn", "Zn", "P"], "fractional_positions": [[0.750, 0.750, 0.750], [0.000, 0.000, 0.000], [0.250, 0.250, 0.250], [0.500, 0.500, 0.500]], "e_tot_ev_per_atom": -2.201, "magmom_total_mub_per_fu": 0.0, "ef_mev_per_atom": 380}

3.
{"formula": "TlZn2P", "functional": "GGA-PBE", "state": "optimized geometry", "lattice_angstrom": [[2.003, 3.491, 0.036], [-2.003, 3.491, 0.036], [0.000, 2.284, 6.369]], "species": ["Tl", "Zn", "Zn", "P"], "fractional_positions": [[0.245, 0.245, 0.247], [0.019, 0.019, 0.935], [0.772, 0.772, 0.693], [0.463, 0.463, 0.626]], "e_tot_ev_per_atom": -2.502, "magmom_total_mub_per_fu": 0.0, "ef_mev_per_atom": 79}

4.
{"formula": "TlZn2P", "functional": "GGA-PBE", "state": "optimized geometry", "lattice_angstrom": [[-1.882, 2.950, 3.873], [1.882, -2.950, 3.873], [1.882, 2.950, -3.873]], "species": ["Tl", "Zn", "Zn", "P"], "fractional_positions": [[0.500, 0.000, 0.500], [0.798, 0.798, 0.000], [0.202, 0.202, 0.000], [0.000, 0.500, 0.500]], "e_tot_ev_per_atom": -2.351, "magmom_total_mub_per_fu": 0.0, "ef_mev_per_atom": 230}

5.
{"formula": "TlZn2P2", "functional": "GGA-PBE", "state": "optimized geometry", "lattice_angstrom": [[-3.170, -5.360, -4.733], [5.766, -4.978, 1.776], [-1.637, -1.072, 2.310]], "species": ["P", "P", "P", "P", "Tl", "Tl", "Zn", "Zn", "Zn", "Zn"], "fractional_positions": [[0.342, 0.842, 0.000], [0.842, 0.658, 0.000], [0.658, 0.158, 0.000], [0.158, 0.342, 0.000], [0.000, 0.000, 0.000], [0.500, 0.500, 0.000], [0.133, 0.633, 0.500], [0.633, 0.867, 0.500], [0.867, 0.367, 0.500], [0.367, 0.133, 0.500]], "e_tot_ev_per_atom": -2.852, "magmom_total_mub_per_fu": 0.0, "ef_mev_per_atom": 295}

6.
{"formula": "TlZn4P", "functional": "GGA-PBE", "state": "optimized geometry", "lattice_angstrom": [[-0.258, -4.884, -2.176], [-4.260, -3.113, 0.906], [-3.478, -0.992, -3.947]], "species": ["Tl", "Zn", "Zn", "Zn", "Zn", "P"], "fractional_positions": [[0.000, 0.000, 0.000], [0.624, 0.624, 0.128], [0.624, 0.128, 0.624], [0.624, 0.624, 0.624], [0.128, 0.624, 0.624], [0.250, 0.250, 0.250]], "e_tot_ev_per_atom": -1.851, "magmom_total_mub_per_fu": 0.0, "ef_mev_per_atom": 294}

7.
{"formula": "TlZn2P", "functional": "GGA-PBE", "state": "optimized geometry", "lattice_angstrom": [[3.805, 0.000, 0.000], [0.000, 4.814, -0.089], [0.000, 1.526, 4.624]], "species": ["Tl", "Zn", "Zn", "P"], "fractional_positions": [[0.500, 0.500, 0.000], [0.000, 0.174, 0.719], [0.000, 0.826, 0.281], [0.500, 0.000, 0.500]], "e_tot_ev_per_atom": -2.427, "magmom_total_mub_per_fu": 0.0, "ef_mev_per_atom": 154}

8.
{"formula": "TlZnP3", "functional": "GGA-PBE", "state": "optimized geometry", "lattice_angstrom": [[-1.392, 4.561, 0.135], [-4.147, -1.324, 1.951], [1.903, 0.452, 4.351]], "species": ["P", "P", "P", "Tl", "Zn"], "fractional_positions": [[0.000, 0.500, 0.000], [0.000, 0.000, 0.500], [0.500, 0.000, 0.000], [0.500, 0.500, 0.500], [0.000, 0.000, 0.000]], "e_tot_ev_per_atom": -3.132, "magmom_total_mub_per_fu": 0.0, "ef_mev_per_atom": 842}

9.
{"formula": "TlZn2P", "functional": "GGA-PBE", "state": "optimized geometry", "lattice_angstrom": [[3.488, 2.870, 0.161], [-3.488, 2.870, 0.161], [0.000, 1.258, 4.104]], "species": ["Tl", "Zn", "Zn", "P"], "fractional_positions": [[0.500, 0.500, 0.500], [0.000, 0.500, 0.000], [0.500, 0.000, 0.000], [0.000, 0.000, 0.500]], "e_tot_ev_per_atom": -2.245, "magmom_total_mub_per_fu": 0.0, "ef_mev_per_atom": 336}

10.
{"formula": "TlZn2P2", "functional": "GGA-PBE", "state": "optimized geometry", "lattice_angstrom": [[-2.050, -1.656, -2.847], [2.492, -2.972, -0.066], [-3.696, -5.705, 3.337]], "species": ["P", "P", "Tl", "Zn", "Zn"], "fractional_positions": [[0.357, 0.357, 0.286], [0.643, 0.643, 0.714], [0.000, 0.000, 0.000], [0.750, 0.250, 0.500], [0.250, 0.750, 0.500]], "e_tot_ev_per_atom": -3.154, "magmom_total_mub_per_fu": 0.0, "ef_mev_per_atom": -7}

11.
{"formula": "TlZnP4", "functional": "GGA-PBE", "state": "optimized geometry", "lattice_angstrom": [[0.000, 4.231, 4.231], [4.231, 0.000, 4.231], [4.231, 4.231, 0.000]], "species": ["Tl", "Zn", "P", "P", "P", "P"], "fractional_positions": [[0.750, 0.750, 0.750], [0.000, 0.000, 0.000], [0.970, 0.343, 0.343], [0.343, 0.343, 0.970], [0.343, 0.970, 0.343], [0.343, 0.343, 0.343]], "e_tot_ev_per_atom": -3.891, "magmom_total_mub_per_fu": 0.0, "ef_mev_per_atom": 322}

12.
{"formula": "Tl4ZnP", "functional": "GGA-PBE", "state": "optimized geometry", "lattice_angstrom": [[1.140, -6.163, -1.012], [-4.017, -3.436, -3.516], [1.743, -2.000, -5.768]], "species": ["Tl", "Tl", "Tl", "Tl", "Zn", "P"], "fractional_positions": [[0.877, 0.374, 0.374], [0.374, 0.374, 0.877], [0.374, 0.877, 0.374], [0.374, 0.374, 0.374], [0.750, 0.750, 0.750], [0.000, 0.000, 0.000]], "e_tot_ev_per_atom": -2.165, "magmom_total_mub_per_fu": 0.0, "ef_mev_per_atom": 526}

13.
{"formula": "TlZn2P", "functional": "GGA-PBE", "state": "optimized geometry", "lattice_angstrom": [[4.439, 0.000, 0.000], [0.000, 4.439, 0.000], [0.000, 0.000, 3.945]], "species": ["Tl", "Zn", "Zn", "P"], "fractional_positions": [[0.000, 0.000, 0.500], [0.500, 0.000, 0.000], [0.000, 0.500, 0.000], [0.500, 0.500, 0.500]], "e_tot_ev_per_atom": -2.205, "magmom_total_mub_per_fu": 0.0, "ef_mev_per_atom": 376}

14.
{"formula": "Tl2ZnP2", "functional": "GGA-PBE", "state": "optimized geometry", "lattice_angstrom": [[6.292, 0.000, 0.000], [0.000, 6.292, 0.000], [0.000, 0.000, 5.817]], "species": ["P", "P", "P", "P", "Tl", "Tl", "Tl", "Tl", "Zn", "Zn"], "fractional_positions": [[0.379, 0.879, 0.000], [0.879, 0.621, 0.000], [0.621, 0.121, 0.000], [0.121, 0.379, 0.000], [0.190, 0.690, 0.500], [0.690, 0.810, 0.500], [0.810, 0.310, 0.500], [0.310, 0.190, 0.500], [0.000, 0.000, 0.000], [0.500, 0.500, 0.000]], "e_tot_ev_per_atom": -3.300, "magmom_total_mub_per_fu": 0.0, "ef_mev_per_atom": 65}

15.
{"formula": "TlZn2P", "functional": "GGA-PBE", "state": "optimized geometry", "lattice_angstrom": [[6.519, 0.000, 0.000], [0.000, 6.519, 0.000], [3.260, 3.260, 4.622]], "species": ["P", "P", "Tl", "Tl", "Zn", "Zn", "Zn", "Zn"], "fractional_positions": [[0.500, 0.500, 0.000], [0.250, 0.750, 0.500], [0.000, 0.000, 0.000], [0.750, 0.250, 0.500], [0.552, 0.125, 0.250], [0.198, 0.625, 0.250], [0.375, 0.448, 0.750], [0.875, 0.802, 0.750]], "e_tot_ev_per_atom": -2.467, "magmom_total_mub_per_fu": 0.0, "ef_mev_per_atom": 114}

16.
{"formula": "Tl3ZnP", "functional": "GGA-PBE", "state": "optimized geometry", "lattice_angstrom": [[5.284, 0.000, 0.000], [0.000, 5.284, 0.000], [0.000, 0.000, 5.284]], "species": ["P", "Tl", "Tl", "Tl", "Zn"], "fractional_positions": [[0.500, 0.500, 0.500], [0.000, 0.500, 0.000], [0.000, 0.000, 0.500], [0.500, 0.000, 0.000], [0.000, 0.000, 0.000]], "e_tot_ev_per_atom": -2.216, "magmom_total_mub_per_fu": 0.0, "ef_mev_per_atom": 540}

17.
{"formula": "Tl2Zn2P", "functional": "GGA-PBE", "state": "optimized geometry", "lattice_angstrom": [[-3.186, 5.374, -1.645], [-0.655, -2.233, -6.027], [-4.743, -2.383, 1.398]], "species": ["P", "P", "Tl", "Tl", "Tl", "Tl", "Zn", "Zn", "Zn", "Zn"], "fractional_positions": [[0.000, 0.000, 0.000], [0.500, 0.500, 0.000], [0.180, 0.680, 0.500], [0.680, 0.820, 0.500], [0.820, 0.320, 0.500], [0.320, 0.180, 0.500], [0.364, 0.864, 0.000], [0.864, 0.636, 0.000], [0.636, 0.136, 0.000], [0.136, 0.364, 0.000]], "e_tot_ev_per_atom": -2.415, "magmom_total_mub_per_fu": 0.0, "ef_mev_per_atom": 123}

18.
{"formula": "TlZn2P", "functional": "GGA-PBE", "state": "optimized geometry", "lattice_angstrom": [[-3.585, 1.318, -0.887], [-1.484, -3.572, 0.690], [-1.001, 0.964, 5.478]], "species": ["Tl", "Zn", "Zn", "P"], "fractional_positions": [[0.500, 0.125, 0.267], [0.000, 0.111, 0.827], [0.500, 0.626, 0.830], [0.000, 0.638, 0.575]], "e_tot_ev_per_atom": -2.435, "magmom_total_mub_per_fu": 0.0, "ef_mev_per_atom": 146}

19.
{"formula": "TlZn2P", "functional": "GGA-PBE", "state": "optimized geometry", "lattice_angstrom": [[1.606, -3.385, 5.479], [-2.421, -0.210, 6.176], [-1.098, -0.182, -6.543]], "species": ["Tl", "Zn", "Zn", "P"], "fractional_positions": [[0.698, 0.198, 0.500], [0.994, 0.994, 0.000], [0.331, 0.831, 0.500], [0.476, 0.476, 0.000]], "e_tot_ev_per_atom": -2.438, "magmom_total_mub_per_fu": 0.0, "ef_mev_per_atom": 143}

20.
{"formula": "ZrTl3P", "functional": "GGA-PBE", "state": "optimized geometry", "lattice_angstrom": [[-2.482, 2.995, -3.482], [-3.198, -3.968, -1.134], [-3.297, 1.594, 3.721]], "species": ["P", "Tl", "Tl", "Tl", "Zr"], "fractional_positions": [[0.000, 0.000, 0.000], [0.000, 0.500, 0.000], [0.000, 0.000, 0.500], [0.500, 0.000, 0.000], [0.500, 0.500, 0.500]], "e_tot_ev_per_atom": -3.393, "magmom_total_mub_per_fu": 1.1, "ef_mev_per_atom": 819}

21.
{"formula": "Zr2TlP", "functional": "GGA-PBE", "state": "optimized geometry", "lattice_angstrom": [[-0.785, 3.037, -0.810], [0.710, -0.642, -3.095], [-7.346, -2.224, -1.223]], "species": ["Zr", "Zr", "Tl", "P"], "fractional_positions": [[0.000, 0.000, 0.800], [0.000, 0.000, 0.200], [0.500, 0.500, 0.500], [0.500, 0.500, 0.000]], "e_tot_ev_per_atom": -6.765, "magmom_total_mub_per_fu": 0.0, "ef_mev_per_atom": -547}

22.
{"formula": "Zr2TlP", "functional": "GGA-PBE", "state": "optimized geometry", "lattice_angstrom": [[-2.912, 3.244, 2.428], [0.123, -3.762, 3.275], [2.416, 1.302, 2.110]], "species": ["Zr", "Zr", "Tl", "P"], "fractional_positions": [[0.000, 0.500, 0.000], [0.500, 0.000, 0.000], [0.500, 0.500, 0.500], [0.000, 0.000, 0.500]], "e_tot_ev_per_atom": -6.531, "magmom_total_mub_per_fu": 0.0, "ef_mev_per_atom": -312}

23.
{"formula": "Zr2TlP", "functional": "GGA-PBE", "state": "optimized geometry", "lattice_angstrom": [[-1.072, 1.885, -2.655], [0.125, -2.573, -1.877], [-7.171, -2.325, 1.245]], "species": ["Zr", "Zr", "Tl", "P"], "fractional_positions": [[0.000, 0.919, 0.797], [0.000, 0.081, 0.203], [0.500, 0.500, 0.500], [0.500, 0.500, 0.000]], "e_tot_ev_per_atom": -6.756, "magmom_total_mub_per_fu": 0.0, "ef_mev_per_atom": -538}

24.
{"formula": "Zr2TlP", "functional": "GGA-PBE", "state": "optimized geometry", "lattice_angstrom": [[3.614, 0.000, 0.000], [1.807, 3.130, 0.000], [1.807, 1.043, 7.749]], "species": ["Zr", "Zr", "Tl", "P"], "fractional_positions": [[0.063, 0.063, 0.810], [0.270, 0.270, 0.189], [0.499, 0.499, 0.502], [0.667, 0.667, 0.999]], "e_tot_ev_per_atom": -7.001, "magmom_total_mub_per_fu": 0.0, "ef_mev_per_atom": -783}

25.
{"formula": "Zr2TlP", "functional": "GGA-PBE", "state": "optimized geometry", "lattice_angstrom": [[2.429, 0.777, 2.012], [-2.697, 0.099, 1.808], [0.975, -7.934, 1.889]], "species": ["Zr", "Zr", "Tl", "P"], "fractional_positions": [[0.000, 0.000, 0.294], [0.000, 0.000, 0.706], [0.500, 0.500, 0.000], [0.500, 0.500, 0.500]], "e_tot_ev_per_atom": -6.755, "magmom_total_mub_per_fu": 0.0, "ef_mev_per_atom": -537}

26.
{"formula": "Zr2Tl2P", "functional": "GGA-PBE", "state": "optimized geometry", "lattice_angstrom": [[-3.170, 2.324, -5.649], [-5.516, -3.824, 1.523], [-1.864, 3.714, 2.574]], "species": ["P", "P", "Tl", "Tl", "Tl", "Tl", "Zr", "Zr", "Zr", "Zr"], "fractional_positions": [[0.000, 0.000, 0.000], [0.500, 0.500, 0.000], [0.158, 0.658, 0.500], [0.658, 0.842, 0.500], [0.842, 0.342, 0.500], [0.342, 0.158, 0.500], [0.335, 0.835, 0.000], [0.835, 0.665, 0.000], [0.665, 0.165, 0.000], [0.165, 0.335, 0.000]], "e_tot_ev_per_atom": -5.874, "magmom_total_mub_per_fu": 0.0, "ef_mev_per_atom": -426}

27.
{"formula": "Zr2TlP", "functional": "GGA-PBE", "state": "optimized geometry", "lattice_angstrom": [[0.000, 3.515, 3.515], [3.515, 0.000, 3.515], [3.515, 3.515, 0.000]], "species": ["Zr", "Zr", "Tl", "P"], "fractional_positions": [[0.000, 0.000, 0.000], [0.750, 0.750, 0.750], [0.250, 0.250, 0.250], [0.500, 0.500, 0.500]], "e_tot_ev_per_atom": -5.889, "magmom_total_mub_per_fu": 2.3, "ef_mev_per_atom": 329}

28.
{"formula": "Zr2TlP", "functional": "GGA-PBE", "state": "optimized geometry", "lattice_angstrom": [[4.548, 0.000, 0.000], [0.000, 4.548, 0.000], [0.000, 0.000, 3.922]], "species": ["Zr", "Zr", "Tl", "P"], "fractional_positions": [[0.500, 0.000, 0.000], [0.000, 0.500, 0.000], [0.000, 0.000, 0.500], [0.500, 0.500, 0.500]], "e_tot_ev_per_atom": -6.466, "magmom_total_mub_per_fu": 0.0, "ef_mev_per_atom": -248}